A plane-wave DFT calculation with GGA-PBE was carried out for a geometry-optimized MnNb2VH structure. Values from VASP.

* calculated volume: 12.67 Å³ per atom
* E: -8.38 eV/atom

Structure (Quantum ESPRESSO input):
```
&SYSTEM
  ibrav = 0, nat = 5, ntyp = 4
/
ATOMIC_SPECIES
Nb 92.91 Nb.upf
Mn 54.94 Mn.upf
H 1.01 H.upf
V 50.94 V.upf
ATOMIC_POSITIONS angstrom
Nb 0.000 2.192 0.000
Mn 2.192 2.192 1.649
Nb 2.192 0.000 0.000
H 0.000 0.000 0.000
V 0.000 0.000 1.649
CELL_PARAMETERS angstrom
4.383 0.000 0.000
0.000 4.383 0.000
0.000 0.000 3.298
```